A plane-wave DFT calculation with PBE was carried out for an optimized crystal structure of Cr5Sb.

```
Cr5Sb
1.0
1.5124 -6.2246 0.0000
1.5124 6.2246 0.0000
0.0000 0.0000 4.1576
Cr Sb
5 1
direct
0.0000 0.0000 0.0000 Cr
0.1788 0.8212 0.5000 Cr
0.3322 0.6678 0.0000 Cr
0.6678 0.3322 0.0000 Cr
0.8212 0.1788 0.5000 Cr
0.5000 0.5000 0.5000 Sb
```

Its total energy is -50.853 eV per cell. Its formation energy from raw total energies is 0.231 eV/atom. Its relative energy among the computed polymorphs is 30 meV/atom. The density of states at the Fermi level comes out at 5.31 states/eV/cell. For the density, the calculation gives 8098 kg/m3.

=====

A plane-wave DFT calculation with PBE was carried out for an optimized crystal structure of CrSb5.

```
CrSb5
1.0
7.0336 -1.6560 0.0000
7.0336 1.6560 0.0000
-4.5955 0.0000 7.2825
Cr Sb
1 5
direct
0.0000 0.0000 0.0000 Cr
0.3237 0.3237 0.7879 Sb
0.4239 0.4239 0.1903 Sb
0.6397 0.6397 0.9563 Sb
0.6538 0.6538 0.3119 Sb
0.9482 0.9482 0.6353 Sb
```

Its total energy is -29.064 eV per cell. Its formation energy from raw total energies is 0.195 eV/atom. Its relative energy among the computed polymorphs is 0 meV/atom. The density of states at the Fermi level comes out at 2.36 states/eV/cell. For the density, the calculation gives 6468 kg/m3.

=====

A plane-wave DFT calculation with PBE was carried out for an optimized crystal structure of CrSb5.

```
CrSb5
1.0
6.1337 0.0000 0.0000
-3.0668 5.3119 0.0000
0.0000 0.0000 5.5275
Cr Sb
1 5
direct
0.0000 0.0000 0.0000 Cr
0.0000 0.5000 0.5000 Sb
0.3333 0.6667 0.0000 Sb
0.5000 0.0000 0.5000 Sb
0.5000 0.5000 0.5000 Sb
0.6667 0.3333 0.0000 Sb
```

Its total energy is -26.442 eV per cell. Its formation energy from raw total energies is 0.632 eV/atom. Its relative energy among the computed polymorphs is 437 meV/atom. The density of states at the Fermi level comes out at 2.83 states/eV/cell. For the density, the calculation gives 6093 kg/m3.

=====

A plane-wave DFT calculation with PBE was carried out for an optimized crystal structure of Cr3Sb.

```
Cr3Sb
1.0
3.0422 0.0000 0.0000
0.0000 4.2404 0.0000
0.0000 0.0000 4.4502
Cr Sb
3 1
direct
0.0000 0.0000 0.0000 Cr
0.0000 0.5000 0.2751 Cr
0.5000 0.0000 0.4071 Cr
0.5000 0.5000 0.7845 Sb
```

Its total energy is -31.306 eV per cell. Its formation energy from raw total energies is 0.422 eV/atom. The density of states at the Fermi level comes out at 4.65 states/eV/cell. For the density, the calculation gives 8034 kg/m3.

=====

A plane-wave DFT calculation with PBE was carried out for an optimized crystal structure of CrSb2.

```
CrSb2
1.0
5.2606 0.0000 0.0000
-2.6303 4.5558 0.0000
0.0000 0.0000 3.1179
Cr Sb
1 2
direct
0.0000 0.0000 0.0000 Cr
0.3333 0.6667 0.5000 Sb
0.6667 0.3333 0.5000 Sb
```

Its total energy is -16.118 eV per cell. Its formation energy from raw total energies is 0.583 eV/atom. The density of states at the Fermi level comes out at 2.03 states/eV/cell. For the density, the calculation gives 6567 kg/m3.

=====

A plane-wave DFT calculation with PBE was carried out for an optimized crystal structure of CrSb2.

```
CrSb2
1.0
3.4450 0.0000 0.0000
-1.7225 2.9835 0.0000
0.0000 0.0000 6.3099
Cr Sb
1 2
direct
0.0000 0.0000 0.0000 Cr
0.3333 0.6667 0.2825 Sb
0.6667 0.3333 0.7175 Sb
```

Its total energy is -17.096 eV per cell. Its formation energy from raw total energies is 0.257 eV/atom. The density of states at the Fermi level comes out at 2.55 states/eV/cell. For the density, the calculation gives 7567 kg/m3.

=====

A plane-wave DFT calculation with PBE was carried out for an optimized crystal structure of Cr2Sb.

```
Cr2Sb
1.0
-1.9231 1.9231 6.6897
1.9231 -1.9231 6.6897
1.9231 1.9231 -6.6897
Cr Sb
4 2
direct
0.2903 0.5403 0.7500 Cr
0.4597 0.7097 0.7500 Cr
0.5403 0.2903 0.2500 Cr
0.7097 0.4597 0.2500 Cr
0.1250 0.8750 0.2500 Sb
0.8750 0.1250 0.7500 Sb
```

Its total energy is -42.533 eV per cell. Its formation energy from raw total energies is 0.701 eV/atom. The density of states at the Fermi level comes out at 9.65 states/eV/cell. For the density, the calculation gives 7576 kg/m3.

=====

A plane-wave DFT calculation with PBE was carried out for an optimized crystal structure of Cr2Sb.

```
Cr2Sb
1.0
3.0242 0.0000 0.0000
-1.5121 2.6190 0.0000
0.0000 0.0000 6.1275
Cr Sb
2 1
direct
0.3333 0.6667 0.3796 Cr
0.6667 0.3333 0.6204 Cr
0.0000 0.0000 0.0000 Sb
```

Its total energy is -21.890 eV per cell. Its formation energy from raw total energies is 0.493 eV/atom. The density of states at the Fermi level comes out at 3.69 states/eV/cell. For the density, the calculation gives 7724 kg/m3.

=====

- What is the formation energy from raw total energies in the eighth record?
  0.493 eV/atom